Entry 1:
Density functional theory data (PBEsol) for crystalline KMn2Os at its relaxed geometry.

```
KMn2Os
1.0
6.2419 0.0000 0.0000
0.0000 6.2419 0.0000
0.0000 0.0000 6.2419
K Mn Os
4 8 4
Direct
0.0000 0.0000 0.0000
0.0000 0.5000 0.5000
0.5000 0.0000 0.5000
0.5000 0.5000 0.0000
0.0000 0.0000 0.5000
0.0000 0.5000 0.0000
0.2500 0.2500 0.7500
0.2500 0.7500 0.2500
0.5000 0.0000 0.0000
0.5000 0.5000 0.5000
0.7500 0.2500 0.2500
0.7500 0.7500 0.7500
0.2500 0.2500 0.2500
0.2500 0.7500 0.7500
0.7500 0.2500 0.7500
0.7500 0.7500 0.2500
```

Output
- excess energy over the best structure of this formula in the dataset (meV/atom) = 604.5
- calculated formation energy (meV per atom) = 1528.3

---

Entry 2:
Density functional theory data (PBEsol) for crystalline KMnOs at its relaxed geometry.

```
KMnOs
1.0
6.5516 0.0000 0.0000
0.0000 6.5516 0.0000
0.0000 0.0000 6.5516
K Mn Os
4 4 4
Direct
0.0000 0.0000 0.0000
0.0000 0.5000 0.5000
0.5000 0.0000 0.5000
0.5000 0.5000 0.0000
0.2500 0.2500 0.2500
0.2500 0.7500 0.7500
0.7500 0.2500 0.7500
0.7500 0.7500 0.2500
0.2500 0.2500 0.7500
0.2500 0.7500 0.2500
0.7500 0.2500 0.2500
0.7500 0.7500 0.7500
```

Output
- calculated formation energy (meV per atom) = 2949.0

---

Entry 3:
Density functional theory data (PBEsol) for crystalline KMn2Os at its relaxed geometry.

```
KMn2Os
1.0
8.5861 0.0000 0.0000
0.0000 2.6795 0.0000
-0.5275 0.0000 6.7016
K Mn Os
2 4 2
Direct
0.0000 0.0000 0.0000
0.5000 0.5000 0.0000
0.2322 0.0000 0.6278
0.2678 0.5000 0.3722
0.7322 0.5000 0.6278
0.7678 0.0000 0.3722
0.0000 0.5000 0.5000
0.5000 0.0000 0.5000
```

Output
- excess energy over the best structure of this formula in the dataset (meV/atom) = 0.0
- calculated formation energy (meV per atom) = 923.8

---

Entry 4:
Density functional theory data (PBEsol) for crystalline K2MnOs at its relaxed geometry.

```
K2MnOs
1.0
2.8256 0.0000 0.0000
0.0000 3.8073 0.0000
0.0000 0.0000 10.0600
K Mn Os
2 1 1
Direct
0.0000 0.0000 0.0000
0.5000 0.5000 0.4245
0.0000 0.0000 0.6786
0.5000 0.5000 0.7480
```

Output
- calculated formation energy (meV per atom) = 803.6

---

Entry 5:
Density functional theory data (PBEsol) for crystalline KMn2Os at its relaxed geometry.

```
KMn2Os
1.0
2.6674 0.0000 0.0000
0.0000 4.7380 0.0000
0.0000 0.0000 5.2987
K Mn Os
1 2 1
Direct
0.0000 0.0000 0.0000
0.0000 0.5000 0.5000
0.5000 0.5000 0.0000
0.5000 0.0000 0.5000
```

Output
- excess energy over the best structure of this formula in the dataset (meV/atom) = 632.9
- calculated formation energy (meV per atom) = 1556.7

---

Entry 6:
Density functional theory data (PBEsol) for crystalline KMnP at its relaxed geometry.

```
KMnP
1.0
6.7419 0.0000 0.0000
0.0000 6.7419 0.0000
0.0000 0.0000 6.7419
K Mn P
4 4 4
Direct
0.0000 0.0000 0.0000
0.0000 0.5000 0.5000
0.5000 0.0000 0.5000
0.5000 0.5000 0.0000
0.2500 0.2500 0.7500
0.2500 0.7500 0.2500
0.7500 0.2500 0.2500
0.7500 0.7500 0.7500
0.2500 0.2500 0.2500
0.2500 0.7500 0.7500
0.7500 0.2500 0.7500
0.7500 0.7500 0.2500
```

Output
- calculated formation energy (meV per atom) = 1294.0

---

Number 1: magnetization 3.77 Bohr magnetons per cell. Number 2: magnetization 25.42 Bohr magnetons per cell. Number 3: magnetization 7.06 Bohr magnetons per cell. Number 4: magnetization 2.70 Bohr magnetons per cell. Number 5: magnetization 7.17 Bohr magnetons per cell. Number 6: magnetization 20.01 Bohr magnetons per cell.